# LuCoPd2, optimized geometry, DFT GGA-PBE
# * raw total energy: -5.86 eV per atom
# * ΔH_f (0 K): -8.34 kcal/mol of atoms
data_LuCoPd2
_chemical_formula_sum 'Lu4 Co4 Pd8'
_cell_length_a 6.339
_cell_length_b 6.339
_cell_length_c 6.339
_cell_angle_alpha 90.00
_cell_angle_beta 90.00
_cell_angle_gamma 90.00
_space_group_name_H-M_alt 'F -4 3 m'
_space_group_IT_number 216
_space_group_name_Hall 'F -4 2 3'
loop_
_atom_site_label
_atom_site_type_symbol
_atom_site_fract_x
_atom_site_fract_y
_atom_site_fract_z
Lu1 Lu 0.000 0.000 0.000
Co1 Co 0.250 0.250 0.250
Pd1 Pd 0.000 0.000 0.500
Pd2 Pd 0.250 0.250 0.750

=====

# Pr4SiCl5, optimized geometry, DFT GGA-PBE
# * raw total energy: -5.13 eV per atom
data_Pr4SiCl5
_chemical_formula_sum 'Pr8 Si2 Cl10'
_cell_length_a 18.266
_cell_length_b 4.135
_cell_length_c 8.401
_cell_angle_alpha 90.00
_cell_angle_beta 104.00
_cell_angle_gamma 90.00
_space_group_name_H-M_alt 'C 1 2/m 1'
_space_group_IT_number 12
loop_
_space_group_symop_operation_xyz
'x,y,z'
'-x,-y,-z'
'-x,y,-z'
'x,-y,z'
'x+1/2,y+1/2,z'
'-x+1/2,-y+1/2,-z'
'-x+1/2,y+1/2,-z'
'x+1/2,-y+1/2,z'
loop_
_atom_site_label
_atom_site_type_symbol
_atom_site_fract_x
_atom_site_fract_y
_atom_site_fract_z
Pr1 Pr 0.000 0.000 0.234
Pr2 Pr 0.156 0.500 0.091
Si1 Si 0.000 0.500 0.000
Cl1 Cl 0.000 0.500 0.500
Cl2 Cl 0.166 0.000 0.330
Cl3 Cl 0.171 0.000 0.852

=====

# UTeOs, optimized geometry, DFT GGA-PBE
# * raw total energy: -7.93 eV per atom
# * energy above the lowest structure with this stoichiometry: 0.000 eV per atom
data_UTeOs
_chemical_formula_sum 'U4 Te4 Os4'
_cell_length_a 6.711
_cell_length_b 6.711
_cell_length_c 6.711
_cell_angle_alpha 90.00
_cell_angle_beta 90.00
_cell_angle_gamma 90.00
_space_group_name_H-M_alt 'F -4 3 m'
_space_group_IT_number 216
_space_group_name_Hall 'F -4 2 3'
loop_
_atom_site_label
_atom_site_type_symbol
_atom_site_fract_x
_atom_site_fract_y
_atom_site_fract_z
U1 U 0.000 0.000 0.000
Te1 Te 0.250 0.250 0.250
Os1 Os 0.250 0.250 0.750